TlTeI2O (GGA-PBE, optimized geometry); volume = 217.73 Å³/f.u.; SG = No. 123; E_tot = -8.67 eV/f.u.; excess energy over the best structure of this formula in the dataset = 1396 meV per atom; size of the total moment = 1.587 μB per formula unit; E_form (uncorrected) = 978.7 meV per atom
1.0
-5.085 3.193 0.136
-2.752 -4.244 -3.239
-1.634 -2.819 5.081
I Tl Te O
2 1 1 1
Direct
0.000 0.500 0.000 I
0.500 0.000 0.000 I
0.000 0.000 0.000 Tl
0.000 0.000 0.500 Te
0.500 0.500 0.500 O